Entry 1:
The following is a PBE calculation of a geometry-optimized CsCu2ReCl8 structure, from the Alexandria database.

a = 6.7472 Å, b = 6.7472 Å, c = 10.8140 Å
α = 71.82°, β = 71.82°, γ = 60.00°
Closest atoms and distances in Å follow each position.
Atoms (fractional coordinates):
Cs: 0.0000 0.0000 0.0000  6 Cl 3.93
Cu: 0.7561 0.7561 0.7317  4 Cl 2.17-2.31
Cu: 0.2439 0.2439 0.2683  4 Cl 2.17-2.31
Re: 0.5000 0.5000 0.5000  6 Cl 2.37
Cl: 0.6845 0.6845 0.9465  1 Cu 2.17
Cl: 0.3155 0.3155 0.0535  1 Cu 2.17
Cl: 0.4584 0.3315 0.3533  1 Cu 2.31, 1 Re 2.37
Cl: 0.6685 0.5416 0.6467  1 Cu 2.31, 1 Re 2.37
Cl: 0.1433 0.6685 0.6467  1 Cu 2.31, 1 Re 2.37
Cl: 0.3315 0.8567 0.3533  1 Cu 2.31, 1 Re 2.37
Cl: 0.8567 0.4584 0.3533  1 Cu 2.31, 1 Re 2.37
Cl: 0.5416 0.1433 0.6467  1 Cu 2.31, 1 Re 2.37

Computed properties:
Magnetic moment ... 1.994 μB per formula unit
Total energy ... -44.8 eV for the cell shown
Energy relative to the elements, uncorrected ... -0.708 eV/atom


Entry 2:
The following is a PBE calculation of a geometry-optimized CsCuRhCl6 structure, from the Alexandria database.

a = 6.3142 Å, b = 6.3145 Å, c = 7.8690 Å
α = 90.00°, β = 90.00°, γ = 59.99°
Closest atoms and distances in Å follow each position.
Atoms (fractional coordinates):
Cs: 0.0000 0.0000 0.0000  6 Cl 3.48
Cu: 0.6666 0.6667 0.5000  6 Cl 2.47
Rh: 0.3333 0.3333 0.5000  6 Cl 2.36
Cl: 0.0126 0.3593 0.3303  1 Rh 2.36, 1 Cu 2.47
Cl: 0.3592 0.0127 0.6697  1 Rh 2.36, 1 Cu 2.47
Cl: 0.6281 0.3592 0.6697  1 Rh 2.36, 1 Cu 2.47
Cl: 0.0127 0.6281 0.6697  1 Rh 2.36, 1 Cu 2.47
Cl: 0.3592 0.6281 0.3303  1 Rh 2.36, 1 Cu 2.47
Cl: 0.6281 0.0127 0.3302  1 Rh 2.36, 1 Cu 2.47

Computed properties:
Magnetic moment ... 1.059 μB per formula unit
Total energy ... -31.2 eV for the cell shown
Energy relative to the elements, uncorrected ... -0.872 eV/atom


The highest total energy belongs to which entry? CsCuRhCl6


The highest energy relative to the elements, uncorrected belongs to which entry? CsCu2ReCl8


Which formula does entry 1 have? CsCu2ReCl8


Look up the magnetic moment of the first one. 1.994 μB per formula unit